The following is a DFT calculation (PBE-GGA) of TiNi8Sb2 after structural relaxation.

Cell lengths 6.840, 6.840, 4.312 Å; angles 103.96, 103.96, 121.75 degrees
Element x y z (fractional)
Ti  0.000  0.000  0.000
Ni  0.100  0.312  0.634
Ni  0.203  0.797  0.000
Ni  0.312  0.100  0.634
Ni  0.412  0.412  0.186
Ni  0.588  0.588  0.814
Ni  0.688  0.900  0.366
Ni  0.797  0.203  0.000
Ni  0.900  0.688  0.366
Sb  0.306  0.694  0.500
Sb  0.694  0.306  0.500

Results
As for the energy relative to the elements, uncorrected: -69.0 meV/atom. The calculation puts the magnetization at 0.0 μB per formula unit. The space-group type is No. 12. The value obtained for the calculated total energy is -63.15 eV/f.u. The density of states at the Fermi level is 9.43 states/eV per cell.